The following is a DFT calculation (GGA-PBE) of a geometry-optimized ThAl6Pd12 structure.

The structure in POSCAR format:
```
ThAl6Pd12
1.0
7.205 -0.132 -0.185
-1.913 6.947 -0.185
-1.913 -2.465 6.498
Al Pd Th
6 12 1
direct
0.292 0.731 0.731
0.731 0.292 0.731
0.269 0.708 0.269
0.731 0.731 0.292
0.708 0.269 0.269
0.269 0.269 0.708
0.121 0.879 0.500
0.155 0.402 0.402
0.121 0.500 0.879
0.879 0.121 0.500
0.402 0.402 0.155
0.598 0.598 0.845
0.500 0.121 0.879
0.402 0.155 0.402
0.879 0.500 0.121
0.845 0.598 0.598
0.598 0.845 0.598
0.500 0.879 0.121
0.000 0.000 0.000
```

Results
E_tot, eV/cell: -105.77
Formation energy from the elements, meV per atom: -715
Calculated density, g/cm³: 8.8



The following is a DFT calculation (GGA-PBE) of a geometry-optimized Th2AlPd4 structure.

The structure in POSCAR format:
```
Th2AlPd4
1.0
4.584 0.858 -1.724
0.503 4.636 -1.724
-0.774 -0.836 8.019
Pd Th Al
4 2 1
direct
0.500 0.000 0.000
0.319 0.319 0.342
0.000 0.500 0.000
0.681 0.681 0.658
0.323 0.323 0.710
0.677 0.677 0.290
0.000 0.000 0.000
```

Results
E_tot, eV/cell: -44.26
Formation energy from the elements, meV per atom: -702
Calculated density, g/cm³: 9.8



The following is a DFT calculation (GGA-PBE) of a geometry-optimized ThAl2Pd structure.

The structure in POSCAR format:
```
ThAl2Pd
1.0
-1.177 -1.914 2.356
2.782 -1.691 0.017
2.759 4.591 5.108
Pd Th Al
1 1 2
direct
0.500 0.500 0.000
0.500 0.500 0.500
0.000 0.000 0.191
0.000 0.000 0.809
```

Results
E_tot, eV/cell: -22.32
Formation energy from the elements, meV per atom: -555
Calculated density, g/cm³: 8.3



The following is a DFT calculation (GGA-PBE) of a geometry-optimized Th2AlPd6 structure.

The structure in POSCAR format:
```
Th2AlPd6
1.0
5.900 -0.028 -0.016
0.030 5.791 0.006
0.030 2.890 5.018
Th Pd Al
2 6 1
direct
0.192 0.333 0.333
0.808 0.667 0.667
0.693 0.655 0.172
0.692 0.172 0.172
0.693 0.172 0.655
0.308 0.828 0.828
0.307 0.828 0.345
0.307 0.345 0.828
0.000 0.000 0.000
```

Results
E_tot, eV/cell: -57.60
Formation energy from the elements, meV per atom: -874
Calculated density, g/cm³: 10.9



The following is a DFT calculation (GGA-PBE) of a geometry-optimized ThAl2Pd7 structure.

The structure in POSCAR format:
```
ThAl2Pd7
1.0
4.086 0.000 -0.786
-0.151 4.083 -0.786
-0.096 -0.100 10.511
Pd Al Th
7 2 1
direct
0.605 0.105 0.210
0.500 0.500 0.000
0.395 0.895 0.790
0.250 0.750 0.500
0.750 0.250 0.500
0.895 0.395 0.790
0.105 0.605 0.210
0.322 0.322 0.644
0.678 0.678 0.356
0.000 0.000 0.000
```

Results
E_tot, eV/cell: -58.94
Formation energy from the elements, meV per atom: -768
Calculated density, g/cm³: 9.8



The following is a DFT calculation (GGA-PBE) of a geometry-optimized Th3Al8Pd3 structure.

The structure in POSCAR format:
```
Th3Al8Pd3
1.0
4.401 0.000 1.161
1.423 7.507 3.528
0.142 0.016 8.383
Al Th Pd
8 3 3
direct
0.147 0.566 0.140
0.132 0.159 0.577
0.853 0.434 0.860
0.868 0.841 0.423
0.349 0.015 0.287
0.495 0.334 0.676
0.505 0.666 0.324
0.651 0.985 0.713
0.716 0.277 0.292
0.284 0.723 0.708
0.000 0.000 0.000
0.651 0.702 0.996
0.000 0.500 0.500
0.349 0.298 0.004
```

Results
E_tot, eV/cell: -76.50
Formation energy from the elements, meV per atom: -623
Calculated density, g/cm³: 7.4



- E_tot of number 2 (Th2AlPd4)?
  -44.26 eV/cell



Please write out number 4 again, unchanged.
The following is a DFT calculation (GGA-PBE) of a geometry-optimized Th2AlPd6 structure.

The structure in POSCAR format:
```
Th2AlPd6
1.0
5.900 -0.028 -0.016
0.030 5.791 0.006
0.030 2.890 5.018
Th Pd Al
2 6 1
direct
0.192 0.333 0.333
0.808 0.667 0.667
0.693 0.655 0.172
0.692 0.172 0.172
0.693 0.172 0.655
0.308 0.828 0.828
0.307 0.828 0.345
0.307 0.345 0.828
0.000 0.000 0.000
```

Results
E_tot, eV/cell: -57.60
Formation energy from the elements, meV per atom: -874
Calculated density, g/cm³: 10.9



Please write out number 4 again, unchanged.
The following is a DFT calculation (GGA-PBE) of a geometry-optimized Th2AlPd6 structure.

The structure in POSCAR format:
```
Th2AlPd6
1.0
5.900 -0.028 -0.016
0.030 5.791 0.006
0.030 2.890 5.018
Th Pd Al
2 6 1
direct
0.192 0.333 0.333
0.808 0.667 0.667
0.693 0.655 0.172
0.692 0.172 0.172
0.693 0.172 0.655
0.308 0.828 0.828
0.307 0.828 0.345
0.307 0.345 0.828
0.000 0.000 0.000
```

Results
E_tot, eV/cell: -57.60
Formation energy from the elements, meV per atom: -874
Calculated density, g/cm³: 10.9